Entry 1:
A relaxed structure of GdIn5Pt, computed with PBE-GGA.

Cell: 4.7070 4.7070 7.4962 Å, 90.00 90.00 90.00°
Sites, in units of the cell vectors:
Gd 0.0000 0.0000 0.0000
In 0.0000 0.5000 0.2965
In 0.0000 0.5000 0.7035
In 0.5000 0.0000 0.2965
In 0.5000 0.0000 0.7035
In 0.5000 0.5000 0.0000
Pt 0.0000 0.0000 0.5000

## Properties
Space-group type   P4/mmm
Energy   -27.5 eV per cell
Total magnetization   0.0 μB/cell

---

Entry 2:
A relaxed structure of CuAg4, computed with PBE-GGA.

Cell: 10.3219 10.3219 4.0824 Å, 90.00 90.00 157.18°
Sites, in units of the cell vectors:
Cu 0.0994 0.9006 0.0000
Cu 0.9006 0.0994 0.0000
Ag 0.0000 0.0000 0.5000
Ag 0.1971 0.8029 0.5000
Ag 0.3031 0.6969 0.0000
Ag 0.4014 0.5986 0.5000
Ag 0.5000 0.5000 0.0000
Ag 0.5986 0.4014 0.5000
Ag 0.6969 0.3031 0.0000
Ag 0.8029 0.1971 0.5000

## Properties
ΔE to the lowest computed polymorph   33 meV per atom
Space-group type   Cmmm
Formation enthalpy at 0 K   5.52 kJ per mole of atoms

---

Entry 3:
A relaxed structure of KDyP2H4O9, computed with PBE-GGA.

Cell: 7.4448 10.4115 10.1151 Å, 90.00 94.53 90.00°
Sites, in units of the cell vectors:
K 0.2328 0.2003 0.3622
K 0.2328 0.2997 0.8622
K 0.7672 0.7003 0.1378
K 0.7672 0.7997 0.6378
Dy 0.2537 0.6240 0.1702
Dy 0.2537 0.8760 0.6702
Dy 0.7463 0.1240 0.3298
Dy 0.7463 0.3760 0.8298
P 0.0978 0.6090 0.8335
P 0.0978 0.8910 0.3335
P 0.4766 0.6532 0.8813
P 0.4766 0.8468 0.3813
P 0.5234 0.1532 0.6187
P 0.5234 0.3468 0.1187
P 0.9022 0.1090 0.6665
P 0.9022 0.3910 0.1665
H 0.0784 0.1837 0.0632
H 0.0784 0.3163 0.5632
H 0.2316 0.0031 0.9509
H 0.2316 0.4969 0.4509
H 0.2855 0.1555 0.1099
H 0.2855 0.3445 0.6099
H 0.3527 0.6239 0.4592
H 0.3527 0.8761 0.9592
H 0.6473 0.1239 0.0408
H 0.6473 0.3761 0.5408
H 0.7145 0.6555 0.3901
H 0.7145 0.8445 0.8901
H 0.7684 0.5031 0.5491
H 0.7684 0.9969 0.0491
H 0.9216 0.6837 0.4368
H 0.9216 0.8163 0.9368
O 0.0070 0.5105 0.2063
O 0.0070 0.9895 0.7063
O 0.0699 0.6599 0.9722
O 0.0699 0.8401 0.4722
O 0.0790 0.7148 0.7293
O 0.0790 0.7852 0.2293
O 0.1805 0.1248 0.0543
O 0.1805 0.3752 0.5543
O 0.2982 0.5586 0.3980
O 0.2982 0.9414 0.8980
O 0.3090 0.5601 0.8335
O 0.3090 0.9399 0.3335
O 0.3576 0.0682 0.6123
O 0.3576 0.4318 0.1123
O 0.4379 0.7083 0.0166
O 0.4379 0.7917 0.5166
O 0.4880 0.7381 0.2809
O 0.4880 0.7619 0.7809
O 0.5120 0.2381 0.2191
O 0.5120 0.2619 0.7191
O 0.5621 0.2083 0.4834
O 0.5621 0.2917 0.9834
O 0.6424 0.5682 0.8877
O 0.6424 0.9318 0.3877
O 0.6910 0.0601 0.6665
O 0.6910 0.4399 0.1665
O 0.7018 0.0586 0.1020
O 0.7018 0.4414 0.6020
O 0.8195 0.6248 0.4457
O 0.8195 0.8752 0.9457
O 0.9210 0.2148 0.7707
O 0.9210 0.2852 0.2707
O 0.9301 0.1599 0.5278
O 0.9301 0.3401 0.0278
O 0.9930 0.0105 0.2937
O 0.9930 0.4895 0.7937

## Properties
Space-group type   P2_1/c
Energy   -439.4 eV per cell
Total magnetization   0.0 μB/cell

---

Entry 4:
A relaxed structure of HoAgSnTe3, computed with PBE-GGA.

Cell: 11.1619 4.3343 14.6597 Å, 90.00 90.00 90.00°
Sites, in units of the cell vectors:
Ho 0.0184 0.2500 0.2439
Ho 0.4816 0.7500 0.7439
Ho 0.5184 0.2500 0.2561
Ho 0.9816 0.7500 0.7561
Ag 0.2392 0.2500 0.7250
Ag 0.2608 0.7500 0.2250
Ag 0.7392 0.2500 0.7750
Ag 0.7608 0.7500 0.2750
Sn 0.2216 0.7500 0.5161
Sn 0.2784 0.2500 0.0161
Sn 0.7216 0.7500 0.9839
Sn 0.7784 0.2500 0.4839
Te 0.0381 0.2500 0.6072
Te 0.0737 0.7500 0.1004
Te 0.2354 0.7500 0.8484
Te 0.2646 0.2500 0.3484
Te 0.4263 0.2500 0.6004
Te 0.4619 0.7500 0.1072
Te 0.5381 0.2500 0.8928
Te 0.5737 0.7500 0.3996
Te 0.7354 0.7500 0.6516
Te 0.7646 0.2500 0.1516
Te 0.9263 0.2500 0.8996
Te 0.9619 0.7500 0.3928

## Properties
ΔE to the lowest computed polymorph   9 meV per atom
Space-group type   Pnma
Total magnetization   0.0 μB/cell

---

Entry 5:
A relaxed structure of Sm2GdCo2B2N3, computed with PBE-GGA.

Cell: 10.2536 10.2536 10.2536 Å, 160.04 160.04 28.37°
Sites, in units of the cell vectors:
Sm 0.1261 0.1261 0.0000
Sm 0.8739 0.8739 0.0000
Gd 0.5000 0.5000 0.0000
Co 0.2500 0.7500 0.5000
Co 0.7500 0.2500 0.5000
B 0.3043 0.3043 0.0000
B 0.6957 0.6957 0.0000
N 0.0000 0.0000 0.0000
N 0.3798 0.3798 0.0000
N 0.6202 0.6202 0.0000

## Properties
Space-group type   I4/mmm
Energy   -77.9 eV per cell
Total magnetization   0.0 μB/cell

---

Entry 6:
A relaxed structure of DyNbNO, computed with PBE-GGA.

Cell: 4.7223 4.7223 4.5061 Å, 90.00 90.00 90.00°
Sites, in units of the cell vectors:
Dy 0.2500 0.7500 0.0000
Dy 0.7500 0.2500 0.0000
Nb 0.2500 0.2500 0.5004
Nb 0.7500 0.7500 0.4996
N 0.2500 0.2500 0.0011
N 0.7500 0.7500 0.9989
O 0.2500 0.7500 0.5000
O 0.7500 0.2500 0.5000

## Properties
ΔE to the lowest computed polymorph   176 meV per atom
Space-group type   P4/nmm
Total magnetization   0.0 μB/cell

---

Entry 7:
A relaxed structure of DyZnFe, computed with PBE-GGA.

Cell: 6.3696 6.3696 6.3696 Å, 90.00 90.00 90.00°
Sites, in units of the cell vectors:
Dy 0.0000 0.0000 0.0000
Dy 0.0000 0.5000 0.5000
Dy 0.5000 0.0000 0.5000
Dy 0.5000 0.5000 0.0000
Zn 0.2500 0.2500 0.2500
Zn 0.2500 0.7500 0.7500
Zn 0.7500 0.2500 0.7500
Zn 0.7500 0.7500 0.2500
Fe 0.2500 0.2500 0.7500
Fe 0.2500 0.7500 0.2500
Fe 0.7500 0.2500 0.2500
Fe 0.7500 0.7500 0.7500

## Properties
Space-group type   F-43m
Total magnetization   7.5 μB/cell
Formation enthalpy at 0 K   77.03 kJ per mole of atoms

---

Entry 8:
A relaxed structure of ZrAuNO, computed with PBE-GGA.

Cell: 3.6560 6.8938 6.3901 Å, 90.00 90.00 90.00°
Sites, in units of the cell vectors:
Zr 0.0000 0.1655 0.0000
Zr 0.0000 0.8345 0.5000
Au 0.5000 0.4977 0.7229
Au 0.5000 0.5023 0.2229
N 0.5000 0.3128 0.9734
N 0.5000 0.6872 0.4734
O 0.0000 0.0223 0.2675
O 0.0000 0.9777 0.7675

## Properties
ΔE to the lowest computed polymorph   0 meV per atom
Space-group type   Pmc2_1
Total magnetization   0.0 μB/cell

---

Entry 9:
A relaxed structure of FeNiHgPb, computed with PBE-GGA.

Cell: 6.5175 6.5175 6.5175 Å, 90.00 90.00 90.00°
Sites, in units of the cell vectors:
Fe 0.0000 0.0000 0.0000
Fe 0.0000 0.5000 0.5000
Fe 0.5000 0.0000 0.5000
Fe 0.5000 0.5000 0.0000
Ni 0.0000 0.0000 0.5000
Ni 0.0000 0.5000 0.0000
Ni 0.5000 0.0000 0.0000
Ni 0.5000 0.5000 0.5000
Hg 0.2500 0.2500 0.2500
Hg 0.2500 0.7500 0.7500
Hg 0.7500 0.2500 0.7500
Hg 0.7500 0.7500 0.2500
Pb 0.2500 0.2500 0.7500
Pb 0.2500 0.7500 0.2500
Pb 0.7500 0.2500 0.2500
Pb 0.7500 0.7500 0.7500

## Properties
ΔE to the lowest computed polymorph   0 meV per atom
Space-group type   F-43m
Total magnetization   10.0 μB/cell

---

Entry 10:
A relaxed structure of GdErPd2Pb, computed with PBE-GGA.

Cell: 3.6131 4.2590 14.9615 Å, 90.00 90.00 90.00°
Sites, in units of the cell vectors:
Gd 0.0000 0.0000 0.0000
Gd 0.0000 0.5000 0.5000
Er 0.0000 0.0000 0.2709
Er 0.0000 0.5000 0.7709
Pd 0.5000 0.0000 0.4408
Pd 0.5000 0.0000 0.8256
Pd 0.5000 0.5000 0.3256
Pd 0.5000 0.5000 0.9408
Pb 0.5000 0.0000 0.6354
Pb 0.5000 0.5000 0.1354

## Properties
Space-group type   Amm2
Energy   -54.7 eV per cell
Total magnetization   0.0 μB/cell

---

Entry 11:
A relaxed structure of BeInCoOs, computed with PBE-GGA.

Cell: 5.9811 5.9811 5.9811 Å, 90.00 90.00 90.00°
Sites, in units of the cell vectors:
Be 0.0000 0.0000 0.0000
Be 0.0000 0.5000 0.5000
Be 0.5000 0.0000 0.5000
Be 0.5000 0.5000 0.0000
In 0.2500 0.2500 0.2500
In 0.2500 0.7500 0.7500
In 0.7500 0.2500 0.7500
In 0.7500 0.7500 0.2500
Co 0.0000 0.0000 0.5000
Co 0.0000 0.5000 0.0000
Co 0.5000 0.0000 0.0000
Co 0.5000 0.5000 0.5000
Os 0.2500 0.2500 0.7500
Os 0.2500 0.7500 0.2500
Os 0.7500 0.2500 0.2500
Os 0.7500 0.7500 0.7500

## Properties
ΔE to the lowest computed polymorph   0 meV per atom
Space-group type   F-43m
Total magnetization   7.2 μB/cell

---

Entry 12:
A relaxed structure of Y3ZrC2Se2, computed with PBE-GGA.

Cell: 3.6793 3.6793 13.1718 Å, 90.00 90.00 120.00°
Sites, in units of the cell vectors:
Y 0.0000 0.0000 0.0000
Y 0.0000 0.0000 0.3033
Y 0.3333 0.6667 0.5066
Zr 0.3333 0.6667 0.8058
C 0.6667 0.3333 0.4072
C 0.6667 0.3333 0.8910
Se 0.0000 0.0000 0.6650
Se 0.3333 0.6667 0.1502

## Properties
Space-group type   P3m1
Energy   -62.5 eV per cell
Total magnetization   0.0 μB/cell

---

Entry 13:
A relaxed structure of CsTaBePd, computed with PBE-GGA.

Cell: 6.7241 6.7241 6.7241 Å, 90.00 90.00 90.00°
Sites, in units of the cell vectors:
Cs 0.0000 0.0000 0.0000
Cs 0.0000 0.5000 0.5000
Cs 0.5000 0.0000 0.5000
Cs 0.5000 0.5000 0.0000
Ta 0.2500 0.2500 0.2500
Ta 0.2500 0.7500 0.7500
Ta 0.7500 0.2500 0.7500
Ta 0.7500 0.7500 0.2500
Be 0.0000 0.0000 0.5000
Be 0.0000 0.5000 0.0000
Be 0.5000 0.0000 0.0000
Be 0.5000 0.5000 0.5000
Pd 0.2500 0.2500 0.7500
Pd 0.2500 0.7500 0.2500
Pd 0.7500 0.2500 0.2500
Pd 0.7500 0.7500 0.7500

## Properties
ΔE to the lowest computed polymorph   134 meV per atom
Space-group type   F-43m
Total magnetization   0.0 μB/cell

---

Entry 14:
A relaxed structure of Lu2NbCu, computed with PBE-GGA.

Cell: 6.9030 6.9030 6.9030 Å, 90.00 90.00 90.00°
Sites, in units of the cell vectors:
Lu 0.0000 0.0000 0.0000
Lu 0.0000 0.5000 0.5000
Lu 0.2500 0.2500 0.2500
Lu 0.2500 0.7500 0.7500
Lu 0.5000 0.0000 0.5000
Lu 0.5000 0.5000 0.0000
Lu 0.7500 0.2500 0.7500
Lu 0.7500 0.7500 0.2500
Nb 0.0000 0.0000 0.5000
Nb 0.0000 0.5000 0.0000
Nb 0.5000 0.0000 0.0000
Nb 0.5000 0.5000 0.5000
Cu 0.2500 0.2500 0.7500
Cu 0.2500 0.7500 0.2500
Cu 0.7500 0.2500 0.2500
Cu 0.7500 0.7500 0.7500

## Properties
Space-group type   F-43m
Total magnetization   6.7 μB/cell
Formation enthalpy at 0 K   36.62 kJ per mole of atoms

---

Entry 15:
A relaxed structure of YCuAgGe, computed with PBE-GGA.

Cell: 6.6878 6.6878 6.6878 Å, 90.00 90.00 90.00°
Sites, in units of the cell vectors:
Y 0.0000 0.0000 0.0000
Y 0.0000 0.5000 0.5000
Y 0.5000 0.0000 0.5000
Y 0.5000 0.5000 0.0000
Cu 0.2500 0.2500 0.7500
Cu 0.2500 0.7500 0.2500
Cu 0.7500 0.2500 0.2500
Cu 0.7500 0.7500 0.7500
Ag 0.2500 0.2500 0.2500
Ag 0.2500 0.7500 0.7500
Ag 0.7500 0.2500 0.7500
Ag 0.7500 0.7500 0.2500
Ge 0.0000 0.0000 0.5000
Ge 0.0000 0.5000 0.0000
Ge 0.5000 0.0000 0.0000
Ge 0.5000 0.5000 0.5000

## Properties
ΔE to the lowest computed polymorph   10 meV per atom
Space-group type   F-43m
Total magnetization   0.0 μB/cell

---

Entry 16:
A relaxed structure of Bi10IrS10, computed with PBE-GGA.

Cell: 10.7298 12.8725 8.5960 Å, 90.00 90.00 90.00°
Sites, in units of the cell vectors:
Bi 0.0000 0.0000 0.2321
Bi 0.0000 0.0000 0.7679
Bi 0.1407 0.4084 0.2273
Bi 0.1407 0.4084 0.7727
Bi 0.1440 0.6761 0.0000
Bi 0.2474 0.1825 0.5000
Bi 0.2526 0.6825 0.5000
Bi 0.3560 0.1761 0.0000
Bi 0.3593 0.9084 0.2273
Bi 0.3593 0.9084 0.7727
Bi 0.5000 0.5000 0.2321
Bi 0.5000 0.5000 0.7679
Bi 0.6407 0.0916 0.2273
Bi 0.6407 0.0916 0.7727
Bi 0.6440 0.8239 0.0000
Bi 0.7474 0.3175 0.5000
Bi 0.7526 0.8175 0.5000
Bi 0.8560 0.3239 0.0000
Bi 0.8593 0.5916 0.2273
Bi 0.8593 0.5916 0.7727
Ir 0.0000 0.5000 0.0000
Ir 0.5000 0.0000 0.0000
S 0.0027 0.6499 0.5000
S 0.1452 0.9188 0.0000
S 0.1540 0.1893 0.1952
S 0.1540 0.1893 0.8048
S 0.1733 0.9890 0.5000
S 0.3267 0.4890 0.5000
S 0.3460 0.6893 0.1952
S 0.3460 0.6893 0.8048
S 0.3548 0.4188 0.0000
S 0.4973 0.1499 0.5000
S 0.5027 0.8501 0.5000
S 0.6452 0.5812 0.0000
S 0.6540 0.3107 0.1952
S 0.6540 0.3107 0.8048
S 0.6733 0.5110 0.5000
S 0.8267 0.0110 0.5000
S 0.8460 0.8107 0.1952
S 0.8460 0.8107 0.8048
S 0.8548 0.0812 0.0000
S 0.9973 0.3501 0.5000

## Properties
Space-group type   Pbam
Energy   -185.8 eV per cell
Total magnetization   0.0 μB/cell

---

Entry 17:
A relaxed structure of Y3Sc3Sb2Os, computed with PBE-GGA.

Cell: 7.8325 7.8325 4.1869 Å, 90.00 90.00 120.00°
Sites, in units of the cell vectors:
Y 0.0000 0.6051 0.0000
Y 0.3949 0.3949 0.0000
Y 0.6051 0.0000 0.0000
Sc 0.0000 0.2268 0.5000
Sc 0.2268 0.0000 0.5000
Sc 0.7732 0.7732 0.5000
Sb 0.3333 0.6667 0.5000
Sb 0.6667 0.3333 0.5000
Os 0.0000 0.0000 0.0000

## Properties
ΔE to the lowest computed polymorph   0 meV per atom
Space-group type   P-62m
Total magnetization   0.0 μB/cell

---

Entry 18:
A relaxed structure of Nd2Te, computed with PBE-GGA.

Cell: 9.8098 9.8098 9.8098 Å, 60.00 60.00 60.00°
Sites, in units of the cell vectors:
Nd 0.0000 0.0000 0.0000
Nd 0.0000 0.0000 0.5000
Nd 0.0000 0.5000 0.0000
Nd 0.5000 0.0000 0.0000
Te 0.1250 0.1250 0.1250
Te 0.8750 0.8750 0.8750

## Properties
Space-group type   Fd-3m
Energy   -20.5 eV per cell
Total magnetization   8.2 μB/cell

---

Entry 19:
A relaxed structure of LiSmW, computed with PBE-GGA.

Cell: 6.7026 6.7026 6.7026 Å, 90.00 90.00 90.00°
Sites, in units of the cell vectors:
Li 0.0000 0.0000 0.0000
Li 0.0000 0.5000 0.5000
Li 0.5000 0.0000 0.5000
Li 0.5000 0.5000 0.0000
Sm 0.2500 0.2500 0.2500
Sm 0.2500 0.7500 0.7500
Sm 0.7500 0.2500 0.7500
Sm 0.7500 0.7500 0.2500
W 0.0000 0.0000 0.5000
W 0.0000 0.5000 0.0000
W 0.5000 0.0000 0.0000
W 0.5000 0.5000 0.5000

## Properties
ΔE to the lowest computed polymorph   379 meV per atom
Space-group type   F-43m
Total magnetization   9.8 μB/cell